CdBrO2: relaxed, PBE.

Values from the calculation:
Energy relative to the lowest polymorph listed for this composition (meV per atom): 312.0
Total DFT energy (no corrections) (eV per atom): -3.255

Lattice parameters (Å, degrees): 7.371 7.371 6.051 90.00 90.00 151.52
Sites, in units of the cell vectors:
1 Cd 0.141 0.859 0.750
2 Cd 0.859 0.141 0.250
3 Br 0.417 0.583 0.750
4 Br 0.583 0.417 0.250
5 O 0.288 0.712 0.750
6 O 0.439 0.561 0.250
7 O 0.561 0.439 0.750
8 O 0.712 0.288 0.250

CdPd3C: relaxed, PBE.

Values from the calculation:
Energy relative to the lowest polymorph listed for this composition (meV per atom): 2211.6
Formation enthalpy at 0 K (eV/atom): 2.248
Total DFT energy (no corrections) (eV per atom): -2.895

Lattice parameters (Å, degrees): 5.018 5.018 5.018 90.00 90.00 90.00
Sites, in units of the cell vectors:
1 Cd 0.000 0.000 0.000
2 Pd 0.000 0.000 0.500
3 Pd 0.000 0.500 0.000
4 Pd 0.500 0.000 0.000
5 C 0.500 0.500 0.500

NaAcAs2Pt5: relaxed, PBE.

Values from the calculation:
Formation enthalpy at 0 K (eV/atom): -0.589
Total DFT energy (no corrections) (eV per atom): -5.581

Lattice parameters (Å, degrees): 4.328 4.328 9.557 90.00 90.00 90.00
Sites, in units of the cell vectors:
1 Na 0.000 0.000 0.000
2 Ac 0.000 0.000 0.500
3 As 0.500 0.500 0.138
4 As 0.500 0.500 0.862
5 Pt 0.000 0.500 0.267
6 Pt 0.000 0.500 0.733
7 Pt 0.500 0.000 0.267
8 Pt 0.500 0.000 0.733
9 Pt 0.500 0.500 0.500

TbHoErTh: relaxed, PBE.

Values from the calculation:
Energy relative to the lowest polymorph listed for this composition (meV per atom): 0.0
Formation enthalpy at 0 K (eV/atom): 0.005
Total DFT energy (no corrections) (eV per atom): -5.293

Lattice parameters (Å, degrees): 11.565 11.565 11.565 17.79 17.79 17.79
Sites, in units of the cell vectors:
1 Tb 0.000 0.000 0.000
2 Ho 0.249 0.249 0.249
3 Er 0.832 0.832 0.832
4 Th 0.416 0.416 0.416

KZrTe4Au: relaxed, PBE.

Values from the calculation:
Total DFT energy (no corrections) (eV per atom): -4.215

Lattice parameters (Å, degrees): 7.406 6.237 9.922 90.00 106.10 90.00
Sites, in units of the cell vectors:
1 K 0.159 0.250 0.452
2 K 0.841 0.750 0.548
3 Zr 0.286 0.750 0.069
4 Zr 0.714 0.250 0.931
5 Te 0.133 0.250 0.078
6 Te 0.314 0.750 0.376
7 Te 0.355 0.513 0.816
8 Te 0.355 0.987 0.816
9 Te 0.645 0.013 0.184
10 Te 0.645 0.487 0.184
11 Te 0.686 0.250 0.624
12 Te 0.867 0.750 0.922
13 Au 0.031 0.250 0.788
14 Au 0.969 0.750 0.212

AlAsBr2O: relaxed, PBE.

Values from the calculation:
Energy relative to the lowest polymorph listed for this composition (meV per atom): 0.0
Total DFT energy (no corrections) (eV per atom): -3.162

Lattice parameters (Å, degrees): 6.013 6.013 3.671 90.00 90.00 90.00
Sites, in units of the cell vectors:
1 Al 0.000 0.000 0.000
2 As 0.500 0.500 0.000
3 Br 0.000 0.500 0.500
4 Br 0.500 0.000 0.500
5 O 0.500 0.500 0.500

YInRu: relaxed, PBE.

Values from the calculation:
Formation enthalpy at 0 K (eV/atom): 0.562
Total DFT energy (no corrections) (eV per atom): -5.597

Lattice parameters (Å, degrees): 4.765 4.765 4.765 60.00 60.00 60.00
Sites, in units of the cell vectors:
1 Y 0.000 0.000 0.000
2 In 0.750 0.750 0.750
3 Ru 0.250 0.250 0.250

NaSm2Cd: relaxed, PBE.

Values from the calculation:
Energy relative to the lowest polymorph listed for this composition (meV per atom): 17.2
Formation enthalpy at 0 K (eV/atom): 0.017
Total DFT energy (no corrections) (eV per atom): -2.901

Lattice parameters (Å, degrees): 5.491 5.491 5.491 60.00 60.00 60.00
Sites, in units of the cell vectors:
1 Na 0.000 0.000 0.000
2 Sm 0.250 0.250 0.250
3 Sm 0.750 0.750 0.750
4 Cd 0.500 0.500 0.500

Ac3DySn12: relaxed, PBE.

Values from the calculation:
Formation enthalpy at 0 K (eV/atom): -0.488
Total DFT energy (no corrections) (eV per atom): -4.548

Lattice parameters (Å, degrees): 4.883 4.883 19.343 90.00 90.00 90.00
Sites, in units of the cell vectors:
1 Ac 0.000 0.000 0.000
2 Ac 0.000 0.000 0.257
3 Ac 0.000 0.000 0.743
4 Dy 0.000 0.000 0.500
5 Sn 0.000 0.500 0.129
6 Sn 0.000 0.500 0.385
7 Sn 0.000 0.500 0.615
8 Sn 0.000 0.500 0.871
9 Sn 0.500 0.000 0.129
10 Sn 0.500 0.000 0.385
11 Sn 0.500 0.000 0.615
12 Sn 0.500 0.000 0.871
13 Sn 0.500 0.500 0.000
14 Sn 0.500 0.500 0.257
15 Sn 0.500 0.500 0.500
16 Sn 0.500 0.500 0.743

Y2NiP3Rh12: relaxed, PBE.

Values from the calculation:
Formation enthalpy at 0 K (eV/atom): -0.207
Total DFT energy (no corrections) (eV per atom): -7.049

Lattice parameters (Å, degrees): 6.668 6.668 6.668 82.50 82.50 82.50
Sites, in units of the cell vectors:
1 Y 0.125 0.125 0.125
2 Y 0.875 0.875 0.875
3 Ni 0.500 0.500 0.500
4 P 0.000 0.500 0.500
5 P 0.500 0.000 0.500
6 P 0.500 0.500 0.000
7 Rh 0.134 0.134 0.591
8 Rh 0.134 0.591 0.134
9 Rh 0.173 0.671 0.671
10 Rh 0.329 0.329 0.827
11 Rh 0.329 0.827 0.329
12 Rh 0.409 0.866 0.866
13 Rh 0.591 0.134 0.134
14 Rh 0.671 0.173 0.671
15 Rh 0.671 0.671 0.173
16 Rh 0.827 0.329 0.329
17 Rh 0.866 0.409 0.866
18 Rh 0.866 0.866 0.409

NdGdDyGa: relaxed, PBE.

Values from the calculation:
Formation enthalpy at 0 K (eV/atom): -0.105
Total DFT energy (no corrections) (eV per atom): -6.724

Lattice parameters (Å, degrees): 5.395 5.395 5.395 60.00 60.00 60.00
Sites, in units of the cell vectors:
1 Nd 0.000 0.000 0.000
2 Gd 0.500 0.500 0.500
3 Dy 0.250 0.250 0.250
4 Ga 0.750 0.750 0.750

NaPr2Pt: relaxed, PBE.

Values from the calculation:
Energy relative to the lowest polymorph listed for this composition (meV per atom): 4.9
Formation enthalpy at 0 K (eV/atom): -0.466
Total DFT energy (no corrections) (eV per atom): -4.696

Lattice parameters (Å, degrees): 9.625 9.625 9.625 25.72 25.72 25.72
Sites, in units of the cell vectors:
1 Na 0.000 0.000 0.000
2 Pr 0.221 0.221 0.221
3 Pr 0.779 0.779 0.779
4 Pt 0.500 0.500 0.500

Number 1: magnetization 0.000 μB/atom. Number 2: magnetization 0.385 μB/atom. Number 3: magnetization 0.000 μB/atom. Number 4: magnetization 0.013 μB/atom. Number 5: magnetization 0.000 μB/atom. Number 6: magnetization 0.000 μB/atom. Number 7: magnetization 0.000 μB/atom. Number 8: magnetization 0.177 μB/atom. Number 9: magnetization 0.000 μB/atom. Number 10: magnetization 0.075 μB/atom. Number 11: magnetization 2.084 μB/atom. Number 12: magnetization 0.000 μB/atom.